Record 1
DFT (PBE-GGA) results for crystalline Ho at its relaxed geometry.

abc: 10.618 10.618 10.618
angles: 109.47 109.47 109.47
Element x y z (fractional)
Ho 0.000 0.000 0.000
Ho 0.000 0.000 0.654
Ho 0.000 0.189 0.376
Ho 0.000 0.376 0.189
Ho 0.000 0.424 0.689
Ho 0.000 0.654 0.000
Ho 0.000 0.689 0.424
Ho 0.187 0.811 0.811
Ho 0.189 0.000 0.376
Ho 0.189 0.376 0.000
Ho 0.264 0.576 0.576
Ho 0.311 0.311 0.736
Ho 0.311 0.736 0.311
Ho 0.346 0.346 0.346
Ho 0.376 0.000 0.189
Ho 0.376 0.189 0.000
Ho 0.424 0.000 0.689
Ho 0.424 0.689 0.000
Ho 0.576 0.264 0.576
Ho 0.576 0.576 0.264
Ho 0.624 0.624 0.813
Ho 0.624 0.813 0.624
Ho 0.654 0.000 0.000
Ho 0.689 0.000 0.424
Ho 0.689 0.424 0.000
Ho 0.736 0.311 0.311
Ho 0.811 0.187 0.811
Ho 0.811 0.811 0.187
Ho 0.813 0.624 0.624

Values from the calculation:
E_tot	-4.3761	eV/atom
V	31.77	Å³/atom
total magnetization	0.92	μB per cell
SG	I-43m (217)
energy above the lowest structure with this stoichiometry	200.7	meV per atom
calculated formation energy	0.201	eV/atom



Record 2
DFT (PBE-GGA) results for crystalline SmTm at its relaxed geometry.

abc: 4.896 4.896 4.896
angles: 60.00 60.00 60.00
Element x y z (fractional)
Sm 0.000 0.000 0.000
Tm 0.750 0.750 0.750

Values from the calculation:
E_tot	-2.7702	eV/atom
V	41.49	Å³/atom
total magnetization	0.02	μB per cell
SG	F-43m (216)
energy above the lowest structure with this stoichiometry	1821.9	meV per atom
calculated formation energy	1.823	eV/atom



Record 3
DFT (PBE-GGA) results for crystalline BaZn2GaSn at its relaxed geometry.

abc: 6.551 6.551 6.551
angles: 138.69 138.69 59.84
Element x y z (fractional)
Ba 0.000 0.000 0.000
Zn 0.235 0.735 0.500
Zn 0.735 0.235 0.500
Ga 0.623 0.623 0.000
Sn 0.374 0.374 0.000

Values from the calculation:
E_tot	-2.6771	eV/atom
V	24.25	Å³/atom
SG	I4mm (107)